Entry 1:
A geometry-optimized TiBe2W structure. Source: Alexandria via LeMat-Bulk, functional PBE-GGA.

a = 4.1098 Å, b = 4.1098 Å, c = 4.1098 Å
α = 60.00°, β = 60.00°, γ = 60.00°
Positions (direct):
Be 0.2500 0.2500 0.2500
Be 0.7500 0.7500 0.7500
W 0.5000 0.5000 0.5000
Ti 0.0000 0.0000 0.0000

Calculated values
V   49.09 Å³ per cell
Energy relative to the lowest polymorph listed for this composition   0 meV per atom
Symmetry   Fm-3m
Formation energy from the elements   0.073 eV per atom

***

Entry 2:
A geometry-optimized ZrTiBe2W structure. Source: Alexandria via LeMat-Bulk, functional PBE-GGA.

a = 4.4481 Å, b = 4.8102 Å, c = 4.4481 Å
α = 90.00°, β = 90.00°, γ = 90.00°
Positions (direct):
Be 0.0000 0.0000 0.5000
Be 0.5000 0.0000 0.0000
Zr 0.0000 0.0000 0.0000
W 0.0000 0.5000 0.0000
Ti 0.5000 0.5000 0.5000

Calculated values
V   95.17 Å³ per cell
Symmetry   P4/mmm
Formation energy from the elements   1.767 eV per atom

***

Entry 3:
A geometry-optimized YTi3Be structure. Source: Alexandria via LeMat-Bulk, functional PBE-GGA.

a = 4.6085 Å, b = 4.6085 Å, c = 4.6085 Å
α = 90.00°, β = 90.00°, γ = 90.00°
Each line ends with the local moment (μB).
Positions (direct):
Y 0.5000 0.5000 0.5000  0.23
Be 0.0000 0.0000 0.0000  0.04
Ti 0.0000 0.5000 0.0000  0.42
Ti 0.0000 0.0000 0.5000  0.55
Ti 0.5000 0.0000 0.0000  0.50

Calculated values
V   97.88 Å³ per cell
Energy relative to the lowest polymorph listed for this composition   0 meV per atom
Symmetry   Pm-3m
Formation energy from the elements   0.392 eV per atom

***

Entry 4:
A geometry-optimized Y2Ti2Be structure. Source: Alexandria via LeMat-Bulk, functional PBE-GGA.

a = 6.7297 Å, b = 6.7297 Å, c = 4.7615 Å
α = 90.00°, β = 90.00°, γ = 90.00°
Each line ends with the local moment (μB).
Positions (direct):
Y 0.1689 0.6689 0.5000  0.00
Y 0.6689 0.8311 0.5000  0.00
Y 0.8311 0.3311 0.5000  0.00
Y 0.3311 0.1689 0.5000  0.00
Be 0.0000 0.0000 0.0000  0.00
Be 0.5000 0.5000 0.0000  0.00
Ti 0.3595 0.8595 0.0000  0.15
Ti 0.8595 0.6405 0.0000  0.16
Ti 0.6405 0.1405 0.0000  0.15
Ti 0.1405 0.3595 0.0000  0.16

Calculated values
V   215.64 Å³ per cell
Symmetry   P4/mbm
Formation energy from the elements   0.301 eV per atom